(1)
Computed, not measured: a relaxed structure of CdCu2 at the GGA-PBE level of DFT.

Geometry as CIF:
```
data_CdCu2
_chemical_formula_sum 'Cd8 Cu16'
_cell_length_a 5.0086
_cell_length_b 5.0086
_cell_length_c 16.1699
_cell_angle_alpha 90.00
_cell_angle_beta 90.00
_cell_angle_gamma 120.00
_space_group_name_H-M_alt 'P 63/m m c'
_space_group_IT_number 194
_space_group_name_Hall '-P 6c 2c'
loop_
_atom_site_label
_atom_site_fract_x
_atom_site_fract_y
_atom_site_fract_z
Cd1 0.0000 0.0000 0.0940
Cd2 0.3333 0.6667 0.1562
Cu1 0.0000 0.5000 0.0000
Cu2 0.1645 0.3291 0.7500
Cu3 0.3333 0.6667 0.6253
```

Calculated values
The calculation puts the energy relative to the elements at 0.000 eV/atom. The uncorrected energy comes out at -2.78 eV per atom.


(2)
Computed, not measured: a relaxed structure of CdCu15 at the GGA-PBE level of DFT.

Geometry as CIF:
```
data_CdCu15
_chemical_formula_sum 'Cd2 Cu30'
_cell_length_a 5.1074
_cell_length_b 2.5709
_cell_length_c 41.6545
_cell_angle_alpha 90.00
_cell_angle_beta 90.00
_cell_angle_gamma 90.00
_space_group_name_H-M_alt 'P 1 21/m 1'
_space_group_IT_number 11
_space_group_name_Hall '-P 2yb'
loop_
_atom_site_label
_atom_site_fract_x
_atom_site_fract_y
_atom_site_fract_z
Cd1 0.1250 0.2500 0.1651
Cu1 0.1239 0.2500 0.7782
Cu2 0.1251 0.2500 0.2646
Cu3 0.1250 0.2500 0.3507
Cu4 0.1249 0.2500 0.4357
Cu5 0.1250 0.2500 0.5214
Cu6 0.1255 0.2500 0.6070
Cu7 0.1246 0.2500 0.6922
Cu8 0.3739 0.7500 0.2218
Cu9 0.3746 0.7500 0.3078
Cu10 0.3755 0.7500 0.3930
Cu11 0.3750 0.7500 0.4785
Cu12 0.3749 0.7500 0.5643
Cu13 0.3750 0.7500 0.6497
Cu14 0.3750 0.7500 0.7350
Cu15 0.3749 0.7500 0.8202
```

Calculated values
The calculation puts the energy relative to the elements at 0.066 eV/atom. The uncorrected energy comes out at -3.47 eV per atom. As for the energy above the most stable polymorph in this dataset: 1.6 kJ/mol of atoms.